This record from Alexandria via LeMat-Bulk describes an optimized crystal structure of MnO2. The functional is PBE with a Hubbard U.

Computed properties:
Total DFT energy (no corrections) ... -83.074 eV for the cell shown
Symmetry ... Cmcm

Cell: 4.9252 4.9252 9.6081 Å, 90.00 90.00 145.79°
With the nearest neighbours (Å) after each atom.
Sites, in units of the cell vectors:
Mn 0.1351 0.8649 0.9238  4 O 1.84-2.02
Mn 0.8649 0.1351 0.4238  4 O 1.84-2.02
Mn 0.8649 0.1351 0.0762  4 O 1.84-2.02
Mn 0.1351 0.8649 0.5762  4 O 1.84-2.02
O 0.7624 0.2376 0.6078  3 Mn 1.90-2.02
O 0.2376 0.7624 0.3922  3 Mn 1.90-2.02
O 0.5000 0.5000 0.5000  4 Mn 2.06
O 0.7624 0.2376 0.8922  3 Mn 1.90-2.02
O 0.9472 0.0528 0.2500  2 Mn 1.84
O 0.5000 0.5000 0.0000  4 Mn 2.06
O 0.0528 0.9472 0.7500  2 Mn 1.84
O 0.2376 0.7624 0.1078  3 Mn 1.90-2.02